VASP calculation (meta-GGA SCAN) on a crystal of TcMoRu2 relaxed with PBEsol.

Computed properties:
- space group = P4/mmm (123)
- excess energy over the best structure of this formula in the dataset (eV/atom) = 0.009
- ΔE_f (eV per atom) = 0.050
- DOS at the Fermi energy (states/eV/f.u.) = 3.5

Lattice parameters (Å, degrees): 2.707 2.707 7.623 90.00 90.00 90.00
Sites, in units of the cell vectors:
Tc1 0.000 0.000 0.000
Mo1 0.000 0.000 0.500
Ru1 0.500 0.500 0.244
Ru2 0.500 0.500 0.756

***

VASP calculation (meta-GGA SCAN) on a crystal of TcMoRu2 relaxed with PBEsol.

Computed properties:
- space group = Cmmm (65)
- excess energy over the best structure of this formula in the dataset (eV/atom) = 0.004
- ΔE_f (eV per atom) = 0.045
- DOS at the Fermi energy (states/eV/f.u.) = 3.8

Lattice parameters (Å, degrees): 5.410 7.615 2.710 90.00 90.00 90.00
Sites, in units of the cell vectors:
Tc1 0.000 0.000 0.000
Tc2 0.500 0.500 0.000
Mo1 0.000 0.500 0.000
Mo2 0.500 0.000 0.000
Ru1 0.250 0.250 0.500
Ru2 0.250 0.750 0.500
Ru3 0.750 0.250 0.500
Ru4 0.750 0.750 0.500

***

VASP calculation (meta-GGA SCAN) on a crystal of TeMoRu2 relaxed with PBEsol.

Computed properties:
- space group = Cm (8)
- DFT total energy (eV/atom) = -35.13
- DOS at the Fermi energy (states/eV/f.u.) = 3.5

Lattice parameters (Å, degrees): 9.259 2.978 4.604 90.00 96.71 90.00
Sites, in units of the cell vectors:
Te1 0.000 0.000 0.000
Te2 0.500 0.500 0.000
Mo1 0.269 0.500 0.304
Mo2 0.769 0.000 0.304
Ru1 0.003 0.500 0.510
Ru2 0.236 0.000 0.753
Ru3 0.503 0.000 0.510
Ru4 0.736 0.500 0.753

***

VASP calculation (meta-GGA SCAN) on a crystal of TeMoRu2 relaxed with PBEsol.

Computed properties:
- space group = Cmmm (65)
- DFT total energy (eV/atom) = -35.03
- DOS at the Fermi energy (states/eV/f.u.) = 4.0

Lattice parameters (Å, degrees): 5.726 7.328 2.955 90.00 90.00 90.00
Sites, in units of the cell vectors:
Te1 0.000 0.000 0.000
Te2 0.500 0.500 0.000
Mo1 0.000 0.500 0.000
Mo2 0.500 0.000 0.000
Ru1 0.250 0.250 0.500
Ru2 0.250 0.750 0.500
Ru3 0.750 0.250 0.500
Ru4 0.750 0.750 0.500

***

VASP calculation (meta-GGA SCAN) on a crystal of Te4Mo2Ru relaxed with PBEsol.

Computed properties:
- space group = P1 (1)
- DFT total energy (eV/atom) = -36.54
- DOS at the Fermi energy (states/eV/f.u.) = 0.1

Lattice parameters (Å, degrees): 6.968 7.006 7.025 92.40 93.30 94.74
Sites, in units of the cell vectors:
Te1 0.000 0.000 0.000
Te2 0.044 0.405 0.678
Te3 0.132 0.878 0.514
Te4 0.383 0.359 0.259
Te5 0.455 0.824 0.091
Te6 0.531 0.232 0.763
Te7 0.628 0.730 0.625
Te8 0.883 0.506 0.159
Mo1 0.015 0.205 0.340
Mo2 0.501 0.030 0.428
Mo3 0.673 0.167 0.131
Mo4 0.798 0.866 0.297
Ru1 0.713 0.378 0.475
Ru2 0.842 0.067 0.643

***

VASP calculation (meta-GGA SCAN) on a crystal of TeMoRu2 relaxed with PBEsol.

Computed properties:
- space group = I-4m2 (119)
- DFT total energy (eV/atom) = -35.11
- DOS at the Fermi energy (states/eV/f.u.) = 3.7

Lattice parameters (Å, degrees): 3.909 3.909 7.989 90.00 90.00 90.00
Sites, in units of the cell vectors:
Te1 0.000 0.000 0.000
Te2 0.500 0.500 0.500
Mo1 0.000 0.500 0.250
Mo2 0.500 0.000 0.750
Ru1 0.000 0.000 0.500
Ru2 0.000 0.500 0.750
Ru3 0.500 0.000 0.250
Ru4 0.500 0.500 0.000

***

VASP calculation (meta-GGA SCAN) on a crystal of V2MoRu relaxed with PBEsol.

Computed properties:
- space group = Fm-3m (225)
- ΔE_f (eV per atom) = -0.361
- DOS at the Fermi energy (states/eV/f.u.) = 1.1

Lattice parameters (Å, degrees): 5.998 5.998 5.998 90.00 90.00 90.00
Sites, in units of the cell vectors:
V1 0.250 0.250 0.250
V2 0.250 0.250 0.750
V3 0.250 0.750 0.250
V4 0.250 0.750 0.750
V5 0.750 0.250 0.250
V6 0.750 0.250 0.750
V7 0.750 0.750 0.250
V8 0.750 0.750 0.750
Mo1 0.000 0.000 0.000
Mo2 0.000 0.500 0.500
Mo3 0.500 0.000 0.500
Mo4 0.500 0.500 0.000
Ru1 0.000 0.000 0.500
Ru2 0.000 0.500 0.000
Ru3 0.500 0.000 0.000
Ru4 0.500 0.500 0.500

***

VASP calculation (meta-GGA SCAN) on a crystal of MoRu2W relaxed with PBEsol.

Computed properties:
- space group = Fm-3m (225)
- excess energy over the best structure of this formula in the dataset (eV/atom) = 0.292
- ΔE_f (eV per atom) = 0.363
- DOS at the Fermi energy (states/eV/f.u.) = 5.2

Lattice parameters (Å, degrees): 6.160 6.160 6.160 90.00 90.00 90.00
Sites, in units of the cell vectors:
Mo1 0.000 0.000 0.000
Mo2 0.000 0.500 0.500
Mo3 0.500 0.000 0.500
Mo4 0.500 0.500 0.000
Ru1 0.250 0.250 0.250
Ru2 0.250 0.250 0.750
Ru3 0.250 0.750 0.250
Ru4 0.250 0.750 0.750
Ru5 0.750 0.250 0.250
Ru6 0.750 0.250 0.750
Ru7 0.750 0.750 0.250
Ru8 0.750 0.750 0.750
W1 0.000 0.000 0.500
W2 0.000 0.500 0.000
W3 0.500 0.000 0.000
W4 0.500 0.500 0.500